UNi4As2: optimized geometry, PBE.

a b c (Å): 7.1479 7.1479 3.8415
angles (deg): 90.00 90.00 90.00
With the nearest neighbours (Å) after each atom.
Positions (direct):
Ni1 0.1520 0.4057 0.0000  3 As 2.40-2.41, 6 Ni 2.56-2.64
Ni2 0.4057 0.1520 0.0000  3 As 2.40-2.41, 6 Ni 2.56-2.64
U1 0.0000 0.0000 0.0000  6 As 2.87-2.91, 12 Ni 3.10-3.21
Ni3 0.9057 0.3480 0.5000  3 As 2.40-2.41, 6 Ni 2.56-2.64
Ni4 0.3480 0.9057 0.5000  3 As 2.40-2.41, 6 Ni 2.56-2.64
Ni5 0.0943 0.6520 0.5000  3 As 2.40-2.41, 6 Ni 2.56-2.64
Ni6 0.5943 0.8480 0.0000  3 As 2.40-2.41, 6 Ni 2.56-2.64
As1 0.7840 0.7840 0.5000  6 Ni 2.40-2.41
As2 0.2160 0.2160 0.5000  6 Ni 2.40-2.41
As3 0.7160 0.2840 0.0000  6 Ni 2.40-2.41
Ni7 0.8480 0.5943 0.0000  3 As 2.40-2.41, 6 Ni 2.56-2.64
Ni8 0.6520 0.0943 0.5000  3 As 2.40-2.41, 6 Ni 2.56-2.64
As4 0.2840 0.7160 0.0000  6 Ni 2.40-2.41
U2 0.5000 0.5000 0.5000  6 As 2.87-2.91, 12 Ni 3.10-3.21

Output
Symmetry ... P4_2/mnm
Spin magnetization ... 2.4 μB per cell
ρ ... 10.5 g cm⁻³
Total DFT energy (no corrections) ... -92.1 eV for the cell shown

UNiAs: optimized geometry, PBE.

a b c (Å): 4.0872 4.0872 15.0528
angles (deg): 90.00 90.00 120.00
With the nearest neighbours (Å) after each atom.
Positions (direct):
As1 0.6667 0.3333 0.6187  3 Ni 2.43
Ni1 0.3333 0.6667 0.6562  3 As 2.43
As2 0.3333 0.6667 0.3813  3 Ni 2.43
Ni2 0.6667 0.3333 0.3438  3 As 2.43
As3 0.6667 0.3333 0.8813  3 Ni 2.43
Ni3 0.6667 0.3333 0.1562  3 As 2.43
As4 0.3333 0.6667 0.1187  3 Ni 2.43
U1 0.0000 0.0000 0.5000  6 As 2.96
U2 0.0000 0.0000 0.0000  6 As 2.96
U3 0.0000 0.0000 0.2500  6 Ni 2.75, 6 As 3.08
U4 0.0000 0.0000 0.7500  6 Ni 2.75, 6 As 3.08
Ni4 0.3333 0.6667 0.8438  3 As 2.43

Output
Symmetry ... P6_3/mmc
Spin magnetization ... 8.1 μB per cell
ρ ... 11.3 g cm⁻³
Total DFT energy (no corrections) ... -93.0 eV for the cell shown